No. 1
A geometry-optimized Cs2CeDy2S6 structure, computed with PBE-GGA.

Lattice parameters (Å, degrees): 7.0376 12.1916 8.5700 90.00 106.13 90.00
Space group C2/m (No. 12)
Asymmetric unit:
Cs (0.0000, 0.1680, 0.0000) [4 per cell]
Ce (0.0000, 0.0000, 0.5000) [2 per cell]
Dy (0.0000, 0.3337, 0.5000) [4 per cell]
S (0.2247, 0.1665, 0.6764) [8 per cell]
S (0.2293, 0.5000, 0.6763) [4 per cell]

Results
The volume is 353.2 Å³/f.u. The mass density is 4.3 g cm⁻³. Its formation energy from raw total energies is -1853.7 meV per atom.

=====

No. 2
A geometry-optimized Cs3Ce2DySe6 structure, computed with PBE-GGA.

Lattice parameters (Å, degrees): 7.5948 13.1552 8.7448 90.00 106.82 90.00
Space group C2/m (No. 12)
Asymmetric unit:
Cs (0.0000, 0.0000, 0.0000) [2 per cell]
Cs (0.0000, 0.3324, 0.0000) [4 per cell]
Ce (0.0000, 0.1666, 0.5000) [4 per cell]
Dy (0.0000, 0.5000, 0.5000) [2 per cell]
Se (0.2250, 0.3375, 0.6874) [8 per cell]
Se (0.2376, 0.0000, 0.6878) [4 per cell]

Results
As for the density of states at the Fermi level: 23.18 states/eV/cell. The volume is 418.2 Å³/f.u. The mass density is 5.2 g cm⁻³. Its formation energy from raw total energies is -1682.8 meV per atom.

=====

No. 3
A geometry-optimized Cs3CeDy3Se8 structure, computed with PBE-GGA.

Lattice parameters (Å, degrees): 8.4469 8.4469 25.5730 90.00 90.00 120.00
Space group R-3m (No. 166, hexagonal axes)
Asymmetric unit:
Cs (0.0000, 0.5000, 0.0000) [9 per cell]
Ce (0.0000, 0.0000, 0.5000) [3 per cell]
Dy (0.0000, 0.5000, 0.5000) [9 per cell]
Se (0.0000, 0.0000, 0.2280) [6 per cell]
Se (0.0005, 0.5002, 0.2275) [18 per cell]

Results
The volume is 526.8 Å³/f.u. The mass density is 5.2 g cm⁻³. Its formation energy from raw total energies is -1728.0 meV per atom.

=====

Q: Look up the mass density of the second one.
A: 5.2 g cm⁻³